P) Y2ScIr after structural relaxation. Source: the Alexandria database, functional PBE-GGA.

Cell: 7.918 4.907 3.809 Å, 90.00 61.24 128.33°
Positions (direct):
Ir: 0.000 0.500 0.500
Sc: 0.500 0.500 0.000
Y: 0.000 0.000 0.000
Y: 0.500 0.000 0.500

Q) Y2ScIr after structural relaxation. Source: the Alexandria database, functional PBE-GGA.

Cell: 9.338 9.338 9.338 Å, 23.35 23.35 23.35°
Positions (direct):
Ir: 0.494 0.494 0.494
Y: 0.224 0.224 0.224
Y: 0.005 0.005 0.005
Sc: 0.776 0.776 0.776

P) comes first in stability; the runner-up is 2.1 kJ/mol of atoms higher.

P) Y2ScIr after structural relaxation. Source: the Alexandria database, functional PBE-GGA.

Cell: 8.557 8.557 6.731 Å, 50.53 50.53 90.00°
Positions (direct):
Y: 0.375 0.299 0.750
Y: 0.049 0.625 0.250
Sc: 0.500 0.500 0.000
Sc: 0.250 0.750 0.500
Ir: 0.750 0.250 0.500
Y: 0.875 0.951 0.750
Ir: 0.000 0.000 0.000
Y: 0.701 0.125 0.250

Q) Y2ScIr after structural relaxation. Source: the Alexandria database, functional PBE-GGA.

Cell: 5.052 5.052 5.052 Å, 60.00 60.00 60.00°
Each line ends with the local moment (μB).
Positions (direct):
Y: 0.250 0.250 0.250  0.06
Sc: 0.000 0.000 0.000  0.20
Ir: 0.500 0.500 0.500  -0.01
Y: 0.750 0.750 0.750  0.06

Q) comes first in stability; the runner-up is 6.7 kJ/mol of atoms higher.

P) Y2ScIr after structural relaxation. Source: the Alexandria database, functional PBE-GGA.

Cell: 3.382 3.377 8.660 Å, 90.00 90.00 90.00°
Positions (direct):
Sc: 0.500 0.500 0.685
Y: 0.500 0.500 0.313
Ir: 0.000 0.000 0.520
Y: 0.000 0.000 0.982

Q) Y2ScIr after structural relaxation. Source: the Alexandria database, functional PBE-GGA.

Cell: 6.080 6.080 5.089 Å, 65.25 65.25 34.93°
Positions (direct):
Ir: 0.250 0.250 0.250
Y: 0.549 0.549 0.451
Y: 0.951 0.951 0.049
Sc: 0.750 0.750 0.750

R) Y2ScIr after structural relaxation. Source: the Alexandria database, functional PBE-GGA.

Cell: 9.335 9.335 9.335 Å, 23.36 23.36 23.36°
Each line ends with the local moment (μB).
Positions (direct):
Y: 0.979 0.979 0.979  0.08
Ir: 0.250 0.250 0.250  0.03
Y: 0.521 0.521 0.521  0.08
Sc: 0.750 0.750 0.750  0.57

S) Y2ScIr after structural relaxation. Source: the Alexandria database, functional PBE-GGA.

Cell: 5.014 5.014 5.014 Å, 60.00 60.00 60.00°
Each line ends with the local moment (μB).
Positions (direct):
Sc: 0.250 0.250 0.250  0.21
Y: 0.000 0.000 0.000  0.22
Ir: 0.500 0.500 0.500  -0.04
Y: 0.750 0.750 0.750  0.10

P) comes first in stability; the runner-up is 1.1 kJ/mol of atoms higher.

P) Y2ScIr after structural relaxation. Source: the Alexandria database, functional PBE-GGA.

Cell: 5.140 6.238 8.524 Å, 65.54 72.45 65.67°
Positions (direct):
Sc: 0.501 0.250 0.750
Y: 0.827 0.759 0.587
Ir: 0.001 0.250 0.750
Ir: 0.999 0.750 0.250
Y: 0.173 0.741 0.913
Y: 0.827 0.259 0.087
Sc: 0.499 0.750 0.250
Y: 0.173 0.241 0.413

Q) Y2ScIr after structural relaxation. Source: the Alexandria database, functional PBE-GGA.

Cell: 3.517 3.517 8.108 Å, 90.00 90.00 89.99°
Each line ends with the local moment (μB).
Positions (direct):
Y: 0.000 0.000 0.051  0.11
Ir: 0.500 0.500 0.250  0.06
Sc: 0.500 0.500 0.750  0.56
Y: 0.000 0.000 0.449  0.11

R) Y2ScIr after structural relaxation. Source: the Alexandria database, functional PBE-GGA.

Cell: 5.928 5.928 5.928 Å, 138.18 138.18 60.63°
Positions (direct):
Y: 0.250 0.750 0.500
Ir: 0.500 0.500 0.000
Sc: 0.750 0.250 0.500
Y: 0.000 0.000 0.000

P) comes first in stability; the runner-up is 6.9 kJ/mol of atoms higher.